# 1
SrRe2Pd: relaxed, GGA-PBEsol.

POSCAR file:
```
SrRe2Pd
1.0
-3.6446 -0.8297 -2.6388
0.4470 -2.5227 -3.7908
-1.7894 -4.2075 -0.1722
Re Pd Sr
2 1 1
Direct
0.7500 0.7500 0.7500
0.2500 0.2500 0.2500
0.5000 0.5000 0.5000
0.0000 0.0000 0.0000
```

Formation energy = 1.4548 eV per atom



# 2
InAg2Te: relaxed, GGA-PBEsol.

POSCAR file:
```
InAg2Te
1.0
-3.0462 2.5231 1.4919
-2.9128 -2.8465 -1.1334
3.3532 -1.9396 4.1374
Ag Te In
2 1 1
Direct
0.7500 0.2500 0.5000
0.0000 0.0000 0.0000
0.2500 0.7500 0.5000
0.5000 0.5000 0.0000
```

Raw formation energy = 0.0935 eV/atom
ΔE to the lowest computed polymorph = 0.0337 eV/atom



# 3
Sc2TlPt: relaxed, GGA-PBEsol.

POSCAR file:
```
Sc2TlPt
1.0
3.3660 0.0000 0.1232
0.0000 4.7373 0.0000
-0.1756 0.0000 4.8732
Sc Tl Pt
2 1 1
Direct
0.8755 0.5000 0.3507
0.8747 0.0000 0.9034
0.3750 0.0000 0.4204
0.3748 0.5000 0.8255
```

Formation energy = -0.7107 eV per atom



# 4
Li4Ni3Sn2Sb3O16: relaxed, GGA-PBEsol.

POSCAR file:
```
Li4Ni3Sn2Sb3O16
1.0
-4.6865 3.8712 0.3750
-5.1557 -1.2029 -3.0103
-3.3027 -4.8453 7.7202
Ni O Li Sn Sb
3 16 4 2 3
Direct
0.1739 0.6647 0.7134
0.8325 0.8325 0.2191
0.6647 0.1739 0.7134
0.0053 0.0053 0.3149
0.5162 0.5162 0.3362
0.1725 0.1725 0.1049
0.0080 0.0080 0.8072
0.8429 0.8429 0.6012
0.0337 0.4827 0.8441
0.4827 0.0337 0.8441
0.9622 0.5126 0.3412
0.3302 0.3302 0.6073
0.4873 0.4873 0.8364
0.1644 0.6829 0.1016
0.6829 0.1644 0.1016
0.6655 0.6655 0.1007
0.5126 0.9622 0.3412
0.8483 0.3241 0.5963
0.3241 0.8483 0.5963
0.9911 0.9911 0.5035
0.3288 0.3288 0.4077
0.9330 0.9330 0.9707
0.6617 0.6617 0.8804
0.3488 0.3488 0.9799
0.6777 0.6777 0.5040
0.8364 0.3395 0.2122
0.3395 0.8364 0.2122
0.1730 0.1730 0.7160
```

Raw formation energy = -1.4470 eV/atom



# 5
CaMoO3: relaxed, GGA-PBEsol.

POSCAR file:
```
CaMoO3
1.0
-3.3415 1.6425 -3.9020
3.7792 -1.4187 -3.8335
-3.0404 -7.0807 -0.3769
O Mo Ca
12 4 4
Direct
0.4224 0.4811 0.7500
0.2065 0.7100 0.0409
0.7935 0.2900 0.5409
0.7065 0.7900 0.9591
0.9224 0.0189 0.2500
0.7935 0.2900 0.9591
0.7065 0.7900 0.5409
0.2935 0.2100 0.4591
0.2065 0.7100 0.4591
0.2935 0.2100 0.0409
0.5776 0.5189 0.2500
0.0776 0.9811 0.7500
0.0000 0.0000 0.0000
0.5000 0.5000 0.0000
0.5000 0.5000 0.5000
0.0000 0.0000 0.5000
0.4881 0.9487 0.2500
0.0119 0.4487 0.2500
0.5119 0.0513 0.7500
0.9881 0.5513 0.7500
```

Raw formation energy = -2.4346 eV/atom



# 6
Na3GaSe3: relaxed, GGA-PBEsol.

POSCAR file:
```
Na3GaSe3
1.0
-4.2910 -4.4548 -3.6660
3.8592 -5.8120 2.5455
-7.9150 -0.9633 10.4349
Na Se Ga
12 12 4
Direct
0.9998 0.1678 0.1069
0.5002 0.6678 0.6069
0.4713 0.2746 0.7846
0.9995 0.2836 0.3993
0.9713 0.2254 0.7154
0.0287 0.7746 0.2846
0.4998 0.3322 0.3931
0.0005 0.7164 0.6007
0.5287 0.7254 0.2154
0.5005 0.7836 0.8993
0.0002 0.8322 0.8931
0.4995 0.2164 0.1007
0.7430 0.0746 0.2694
0.2989 0.9201 0.4282
0.2430 0.4254 0.2306
0.2403 0.3826 0.5727
0.7403 0.1174 0.9273
0.7597 0.6174 0.4273
0.7570 0.5746 0.7694
0.2570 0.9254 0.7306
0.2011 0.4201 0.9282
0.7011 0.0799 0.5718
0.7989 0.5799 0.0718
0.2597 0.8826 0.0727
0.1424 0.5854 0.0831
0.6424 0.9146 0.4169
0.3576 0.0854 0.5831
0.8576 0.4146 0.9169
```

Raw formation energy = -0.9470 eV/atom



# 7
YScTlGa2: relaxed, GGA-PBEsol.

POSCAR file:
```
YScTlGa2
1.0
-0.9651 -3.7271 3.3921
4.9711 -0.1364 1.2645
-0.8547 3.6363 3.7522
Sc Ga Tl Y
1 2 1 1
Direct
0.0000 0.0000 0.5000
0.5000 0.0000 0.0000
0.0000 0.5000 0.0000
0.0000 0.0000 0.0000
0.5000 0.5000 0.5000
```

Formation energy = 0.5203 eV per atom



# 8
Sc4AlBr: relaxed, GGA-PBEsol.

POSCAR file:
```
Sc4AlBr
1.0
5.7838 0.0000 0.0000
2.8919 5.0090 0.0000
2.8919 1.6697 4.7225
Br Al Sc
1 1 4
Direct
0.0000 0.0000 0.0000
0.7500 0.7500 0.7500
0.3774 0.8678 0.3774
0.3774 0.3774 0.3774
0.8678 0.3774 0.3774
0.3774 0.3774 0.8678
```

Raw formation energy = 0.2068 eV/atom



# 9
SrSc2W: relaxed, GGA-PBEsol.

POSCAR file:
```
SrSc2W
1.0
-4.4703 2.2887 0.2177
-2.9396 -0.6047 4.0327
-0.7142 3.8224 3.1856
W Sc Sr
1 2 1
Direct
0.2500 0.2500 0.2500
0.7500 0.7500 0.7500
0.0000 0.0000 0.0000
0.5000 0.5000 0.5000
```

Formation energy = 0.8758 eV per atom
ΔE to the lowest computed polymorph = 0.3052 eV/atom



# 10
HfBiS3: relaxed, GGA-PBEsol.

POSCAR file:
```
HfBiS3
1.0
-0.3913 2.3735 -4.2362
-3.0294 -3.4408 -1.6480
-3.7950 2.5019 1.7524
S Hf Bi
3 1 1
Direct
0.5000 0.0000 0.0000
0.0000 0.0000 0.5000
0.0000 0.5000 0.0000
0.0000 0.0000 0.0000
0.5000 0.5000 0.5000
```

Raw formation energy = -0.6510 eV/atom
ΔE to the lowest computed polymorph = 0.0000 eV/atom



# 11
AlPdS3: relaxed, GGA-PBEsol.

POSCAR file:
```
AlPdS3
1.0
4.5002 0.0000 0.0000
0.0000 4.5002 0.0000
0.0000 0.0000 4.5002
Al Pd S
1 1 3
Direct
0.0000 0.0000 0.0000
0.5000 0.5000 0.5000
0.0000 0.0000 0.5000
0.5000 0.0000 0.0000
0.0000 0.5000 0.0000
```

Raw formation energy = 0.2818 eV/atom



# 12
CaTc3H: relaxed, GGA-PBEsol.

POSCAR file:
```
CaTc3H
1.0
4.5198 0.0000 0.0000
0.0000 4.5198 0.0000
0.0000 0.0000 4.5198
H Tc Ca
1 3 1
Direct
0.5000 0.5000 0.5000
0.5000 0.0000 0.0000
0.0000 0.5000 0.0000
0.0000 0.0000 0.5000
0.0000 0.0000 0.0000
```

E = -4.394 eV/atom



Number 1: N(E_F) 5.35 states/eV/f.u., total magnetization 0.0 μB per formula unit. Number 2: N(E_F) 1.31 states/eV/f.u., total magnetization 0.0 μB per formula unit. Number 3: N(E_F) 1.84 states/eV/f.u., total magnetization 0.0 μB per formula unit. Number 4: N(E_F) 3.44 states/eV/f.u., total magnetization 5.7 μB per formula unit. Number 5: N(E_F) 2.19 states/eV/f.u., total magnetization 0.0 μB per formula unit. Number 6: N(E_F) 0.00 states/eV/f.u., total magnetization 0.0 μB per formula unit. Number 7: N(E_F) 4.93 states/eV/f.u., total magnetization 0.7 μB per formula unit. Number 8: N(E_F) 6.90 states/eV/f.u., total magnetization 0.0 μB per formula unit. Number 9: N(E_F) 6.38 states/eV/f.u., total magnetization 0.0 μB per formula unit. Number 10: N(E_F) 2.82 states/eV/f.u., total magnetization 0.0 μB per formula unit. Number 11: N(E_F) 6.38 states/eV/f.u., total magnetization 0.0 μB per formula unit. Number 12: N(E_F) 7.45 states/eV/f.u., total magnetization 2.5 μB per formula unit.